This record from the Alexandria database describes HfGa2Pd after structural relaxation. The functional is GGA-PBE.

Computed properties:
For the energy of formation, the calculation gives -1.6 eV/f.u. The density of states at the Fermi level is 0.421 states/eV/atom. Its space group is Fm-3m (225). Its total magnetic moment is 0.00 μB per formula unit.

Lattice parameters (Å, degrees): 6.463 6.463 6.463 90.00 90.00 90.00
Sites, in units of the cell vectors:
Hf 0.000 0.000 0.000
Hf 0.000 0.500 0.500
Hf 0.500 0.000 0.500
Hf 0.500 0.500 0.000
Ga 0.250 0.250 0.250
Ga 0.250 0.250 0.750
Ga 0.250 0.750 0.250
Ga 0.250 0.750 0.750
Ga 0.750 0.250 0.250
Ga 0.750 0.250 0.750
Ga 0.750 0.750 0.250
Ga 0.750 0.750 0.750
Pd 0.000 0.000 0.500
Pd 0.000 0.500 0.000
Pd 0.500 0.000 0.000
Pd 0.500 0.500 0.500